This record from OQMD describes crystalline GdTl3F6 at its relaxed geometry. The functional is PBE-GGA.

Geometry as POSCAR:
```
GdTl3F6
1.0
6.2269 0.0000 0.0000
0.0000 6.7420 0.0000
-5.7848 0.0000 8.9055
Gd Tl F
2 6 12
direct
0.0000 0.0000 0.0000
0.0000 0.5000 0.5000
0.2784 0.0663 0.7496
0.2784 0.4337 0.2496
0.5000 0.0000 0.5000
0.5000 0.5000 0.0000
0.7216 0.5663 0.7504
0.7216 0.9337 0.2504
0.0881 0.0553 0.2275
0.0881 0.4447 0.7275
0.2134 0.7212 0.0687
0.2134 0.7788 0.5687
0.3469 0.1535 0.0443
0.3469 0.3465 0.5443
0.6531 0.6535 0.4557
0.6531 0.8465 0.9557
0.7866 0.2212 0.4313
0.7866 0.2788 0.9313
0.9119 0.5553 0.2725
0.9119 0.9447 0.7725
```

## Properties
Its total energy is -4.9505 eV per atom.